# PBE-GGA TePdSe2, relaxed
# Theoretical density (g cm⁻³): 5.82
# Uncorrected formation energy (eV/atom): -0.11
# Raw total energy (eV per atom): -3.94
data_TePdSe2
_cell_length_a 19.2699
_cell_length_b 3.6579
_cell_length_c 6.3439
_cell_angle_alpha 90.00
_cell_angle_beta 90.00
_cell_angle_gamma 90.00
_symmetry_space_group_name_H-M 'P n m a'
_symmetry_Int_Tables_number 62
loop_
_symmetry_equiv_pos_as_xyz
'x,y,z'
'-x,-y,-z'
'-x+1/2,-y,z+1/2'
'x+1/2,y,-z+1/2'
'x+1/2,-y+1/2,-z+1/2'
'-x+1/2,y+1/2,z+1/2'
'-x,y+1/2,-z'
'x,-y+1/2,z'
loop_
_atom_site_label
_atom_site_fract_x
_atom_site_fract_y
_atom_site_fract_z
Te1 0.1542 0.2500 0.0538
Pd1 0.0871 0.7500 0.4801
Se1 0.0325 0.2500 0.2643
Se2 0.1564 0.2500 0.6417

***

# PBE-GGA TePdSe, relaxed
# Theoretical density (g cm⁻³): 7.65
# Uncorrected formation energy (eV/atom): -0.31
# Raw total energy (eV per atom): -4.25
# Energy above the lowest structure with this stoichiometry (meV per atom): 0
data_TePdSe
_cell_length_a 3.9599
_cell_length_b 3.9599
_cell_length_c 5.0043
_cell_angle_alpha 90.00
_cell_angle_beta 90.00
_cell_angle_gamma 120.00
_symmetry_space_group_name_H-M 'P 3 m 1'
_symmetry_Int_Tables_number 156
loop_
_symmetry_equiv_pos_as_xyz
'x,y,z'
'-y,x-y,z'
'-x+y,-x,z'
'-y,-x,z'
'-x+y,y,z'
'x,x-y,z'
loop_
_atom_site_label
_atom_site_fract_x
_atom_site_fract_y
_atom_site_fract_z
Te1 0.0000 0.0000 0.0000
Pd1 0.3333 0.6667 0.2821
Se1 0.6667 0.3333 0.5348

***

# PBE-GGA Te4Pd3Se2, relaxed
# Theoretical density (g cm⁻³): 6.66
# Uncorrected formation energy (eV/atom): -0.11
# Raw total energy (eV per atom): -4.01
data_Te4Pd3Se2
_cell_length_a 3.7906
_cell_length_b 3.7906
_cell_length_c 19.7975
_cell_angle_alpha 90.00
_cell_angle_beta 90.00
_cell_angle_gamma 120.00
_symmetry_space_group_name_H-M 'P -6 m 2'
_symmetry_Int_Tables_number 187
_symmetry_space_group_name_Hall 'P -6 2'
loop_
_atom_site_label
_atom_site_fract_x
_atom_site_fract_y
_atom_site_fract_z
Te1 0.0000 0.0000 0.1280
Te2 0.0000 0.0000 0.2920
Pd1 0.0000 0.0000 0.5000
Pd2 0.3333 0.6667 0.2113
Se1 0.3333 0.6667 0.4290

***

# PBE-GGA TePd5Se12, relaxed
# Theoretical density (g cm⁻³): 6.57
# Uncorrected formation energy (eV/atom): -0.20
# Raw total energy (eV per atom): -4.14
data_TePd5Se12
_cell_length_a 6.5641
_cell_length_b 11.3834
_cell_length_c 11.0687
_cell_angle_alpha 90.00
_cell_angle_beta 100.98
_cell_angle_gamma 90.00
_symmetry_space_group_name_H-M 'C 1 2/m 1'
_symmetry_Int_Tables_number 12
loop_
_symmetry_equiv_pos_as_xyz
'x,y,z'
'-x,-y,-z'
'-x,y,-z'
'x,-y,z'
'x+1/2,y+1/2,z'
'-x+1/2,-y+1/2,-z'
'-x+1/2,y+1/2,-z'
'x+1/2,-y+1/2,z'
loop_
_atom_site_label
_atom_site_fract_x
_atom_site_fract_y
_atom_site_fract_z
Te1 0.0000 0.0000 0.0000
Pd1 0.0000 0.1669 0.5000
Pd2 0.0000 0.3331 0.0000
Pd3 0.0000 0.5000 0.5000
Se1 0.1273 0.0000 0.3806
Se2 0.1289 0.3338 0.3812
Se3 0.1813 0.5000 0.1349
Se4 0.2248 0.1806 0.1352

***

# PBE-GGA Te2Pd6Se, relaxed
# Theoretical density (g cm⁻³): 9.99
# Uncorrected formation energy (eV/atom): -0.20
# Raw total energy (eV per atom): -4.75
data_Te2Pd6Se
_cell_length_a 4.9227
_cell_length_b 8.1284
_cell_length_c 8.7982
_cell_angle_alpha 90.00
_cell_angle_beta 113.32
_cell_angle_gamma 90.00
_symmetry_space_group_name_H-M 'P 1 21/c 1'
_symmetry_Int_Tables_number 14
loop_
_symmetry_equiv_pos_as_xyz
'x,y,z'
'-x,-y,-z'
'-x,y+1/2,-z+1/2'
'x,-y+1/2,z+1/2'
loop_
_atom_site_label
_atom_site_fract_x
_atom_site_fract_y
_atom_site_fract_z
Te1 0.2216 0.1202 0.1996
Pd1 0.1454 0.7062 0.6182
Pd2 0.3137 0.0203 0.8328
Pd3 0.4756 0.1763 0.5401
Se1 0.0000 0.0000 0.5000

***

# PBE-GGA Te2PdSe2, relaxed
# Theoretical density (g cm⁻³): 6.01
# Uncorrected formation energy (eV/atom): -0.13
# Raw total energy (eV per atom): -3.82
# Energy above the lowest structure with this stoichiometry (meV per atom): 0
data_Te2PdSe2
_cell_length_a 10.2730
_cell_length_b 4.1303
_cell_length_c 6.8282
_cell_angle_alpha 90.00
_cell_angle_beta 97.76
_cell_angle_gamma 90.00
_symmetry_space_group_name_H-M 'C 1 2/m 1'
_symmetry_Int_Tables_number 12
loop_
_symmetry_equiv_pos_as_xyz
'x,y,z'
'-x,-y,-z'
'-x,y,-z'
'x,-y,z'
'x+1/2,y+1/2,z'
'-x+1/2,-y+1/2,-z'
'-x+1/2,y+1/2,-z'
'x+1/2,-y+1/2,z'
loop_
_atom_site_label
_atom_site_fract_x
_atom_site_fract_y
_atom_site_fract_z
Te1 0.1118 0.0000 0.2256
Pd1 0.0000 0.5000 0.0000
Se1 0.1406 0.5000 0.7176

***

Q: Which value of raw total energy does entry 1 give?
A: -3.94 eV per atom